This record from Alexandria describes Sr2B5HO10 after structural relaxation. The functional is PBEsol.

Properties
The crystal system is monoclinic. The calculation puts the uncorrected energy at -7.85 eV/atom. Its space-group type is No. 14.

abc: 6.489 8.409 14.189
angles: 90.00 94.35 90.00
Fractional positions:
Sr 0.022 0.157 0.110
Sr 0.022 0.343 0.610
Sr 0.452 0.000 0.727
Sr 0.452 0.500 0.227
Sr 0.548 0.000 0.273
Sr 0.548 0.500 0.773
Sr 0.978 0.657 0.390
Sr 0.978 0.843 0.890
B 0.034 0.660 0.684
B 0.034 0.840 0.184
B 0.073 0.053 0.320
B 0.073 0.447 0.820
B 0.306 0.225 0.894
B 0.306 0.275 0.394
B 0.313 0.684 0.565
B 0.313 0.816 0.065
B 0.459 0.204 0.064
B 0.459 0.296 0.564
B 0.541 0.704 0.436
B 0.541 0.796 0.936
B 0.687 0.184 0.935
B 0.687 0.316 0.435
B 0.694 0.725 0.606
B 0.694 0.775 0.106
B 0.927 0.553 0.180
B 0.927 0.947 0.680
B 0.966 0.160 0.816
B 0.966 0.340 0.316
H 0.087 0.511 0.062
H 0.087 0.989 0.562
H 0.913 0.011 0.438
H 0.913 0.489 0.938
O 0.061 0.048 0.620
O 0.061 0.452 0.120
O 0.061 0.681 0.221
O 0.061 0.819 0.721
O 0.118 0.647 0.585
O 0.118 0.853 0.085
O 0.147 0.545 0.744
O 0.147 0.955 0.244
O 0.183 0.113 0.835
O 0.183 0.387 0.335
O 0.255 0.110 0.376
O 0.255 0.390 0.876
O 0.297 0.188 0.996
O 0.297 0.312 0.496
O 0.340 0.706 0.469
O 0.340 0.794 0.969
O 0.429 0.213 0.156
O 0.429 0.287 0.656
O 0.473 0.700 0.632
O 0.473 0.800 0.132
O 0.527 0.200 0.868
O 0.527 0.300 0.368
O 0.571 0.713 0.344
O 0.571 0.787 0.844
O 0.660 0.206 0.031
O 0.660 0.294 0.531
O 0.703 0.688 0.504
O 0.703 0.812 0.004
O 0.745 0.610 0.124
O 0.745 0.890 0.624
O 0.817 0.613 0.665
O 0.817 0.887 0.165
O 0.853 0.045 0.756
O 0.853 0.455 0.256
O 0.882 0.147 0.915
O 0.882 0.353 0.415
O 0.939 0.181 0.279
O 0.939 0.319 0.779
O 0.939 0.548 0.880
O 0.939 0.952 0.380